1.
A plane-wave DFT calculation with PBE was carried out for a relaxed KNa2Y crystal.

Lattice parameters (Å, degrees): 9.3139 9.3139 7.6049 52.24 52.24 90.00
With the nearest neighbours (Å) after each atom.
Element x y z (fractional)
K 0.2500 0.7500 0.5000  4 Na 3.39
Y 0.7500 0.2500 0.5000  4 Na 3.47, 2 K 3.80
Na 0.6190 0.1250 0.2500  2 K 3.39, 2 Y 3.47
K 0.5000 0.5000 0.0000  4 Na 3.39
Na 0.8750 0.8690 0.7500  2 K 3.39, 2 Y 3.47
Y 0.0000 0.0000 0.0000  4 Na 3.47, 2 K 3.80
Na 0.1310 0.6250 0.2500  2 K 3.39, 2 Y 3.47
Na 0.3750 0.3810 0.7500  2 K 3.39, 2 Y 3.47

Computed properties:
Formation energy in eV per formula unit: 2.2
Offset from the most stable computed form in eV per atom: 0.222
Total DFT energy (no corrections) in eV per atom: -2.010

2.
A plane-wave DFT calculation with PBE was carried out for a relaxed LiLa2BRu crystal.

Lattice parameters (Å, degrees): 5.4549 5.4549 4.0254 90.00 90.00 90.00
With the nearest neighbours (Å) after each atom.
Element x y z (fractional)
La 0.0000 0.5000 0.0000  2 B 2.73
Li 0.5000 0.5000 0.5000  8 La 3.39
La 0.5000 0.0000 0.0000  2 B 2.73
Ru 0.0000 0.0000 0.5000  2 B 2.01
B 0.0000 0.0000 0.0000  2 Ru 2.01

Computed properties:
Formation energy in eV per formula unit: -0.3
Total DFT energy (no corrections) in eV per atom: -5.600

3.
A plane-wave DFT calculation with PBE was carried out for a relaxed LiYV2Hg crystal.

Lattice parameters (Å, degrees): 4.6316 4.6050 4.6316 90.00 90.00 90.00
With the nearest neighbours (Å) after each atom.
Element x y z (fractional)
Li 0.0000 0.0000 0.0000  2 Hg 2.30, 4 V 2.32
Hg 0.0000 0.5000 0.0000  2 Li 2.30
V 0.0000 0.0000 0.5000  2 Li 2.32
V 0.5000 0.0000 0.0000  2 Li 2.32
Y 0.5000 0.5000 0.5000  8 V 3.27, 4 Hg 3.28

Computed properties:
Formation energy in eV per formula unit: 3.2
Total DFT energy (no corrections) in eV per atom: -4.750

4.
A plane-wave DFT calculation with PBE was carried out for a relaxed La2Nd7Y2 crystal.

Lattice parameters (Å, degrees): 8.4635 7.0379 7.0378 104.81 100.19 100.19
With the nearest neighbours (Å) after each atom.
Element x y z (fractional)
Nd 0.5000 0.0000 0.0000  10 Nd 3.55-3.96, 2 Y 3.79
Nd 0.3338 0.0948 0.4992  3 Nd 3.30-3.63, 1 La 3.33
Y 0.9637 0.1893 0.1893  1 Y 3.48, 5 Nd 3.55-3.79, 4 La 3.57-3.58
Nd 0.6662 0.9052 0.5008  3 Nd 3.30-3.63, 1 La 3.33
Nd 0.6835 0.4276 0.4276  6 Nd 3.30-3.66, 2 La 3.55, 1 Y 3.55
Nd 0.3338 0.4992 0.0948  3 Nd 3.30-3.63, 1 La 3.33
Nd 0.3165 0.5724 0.5724  6 Nd 3.30-3.66, 2 La 3.55, 1 Y 3.55
Nd 0.6662 0.5008 0.9052  3 Nd 3.30-3.63, 1 La 3.33
La 0.0000 0.7193 0.2807  4 Nd 3.33-3.55, 4 Y 3.57-3.58
La 0.0000 0.2807 0.7193  4 Nd 3.33-3.55, 4 Y 3.57-3.58
Y 0.0363 0.8107 0.8107  1 Y 3.48, 5 Nd 3.55-3.79, 4 La 3.57-3.58

Computed properties:
Formation energy in eV per formula unit: 1.4
Offset from the most stable computed form in eV per atom: 0.000
Total DFT energy (no corrections) in eV per atom: -4.974

5.
A plane-wave DFT calculation with PBE was carried out for a relaxed Al2InTc crystal.

Lattice parameters (Å, degrees): 4.9768 4.9768 4.9768 132.53 132.53 69.39
With the nearest neighbours (Å) after each atom.
Element x y z (fractional)
In 0.2500 0.7500 0.5000  4 Tc 2.83, 8 Al 2.86
Tc 0.7500 0.2500 0.5000  4 In 2.83, 8 Al 2.86
Al 0.5000 0.5000 0.0000  4 Al 2.83, 4 Tc 2.86, 4 In 2.86
Al 0.0000 0.0000 0.0000  4 Al 2.83, 4 In 2.86, 4 Tc 2.86

Computed properties:
Formation energy in eV per formula unit: -0.1
Total DFT energy (no corrections) in eV per atom: -5.175

6.
A plane-wave DFT calculation with PBE was carried out for a relaxed MgCoPb2 crystal.

Lattice parameters (Å, degrees): 3.2773 3.2773 8.4824 90.00 90.00 90.00
With the nearest neighbours (Å) after each atom.
Element x y z (fractional)
Pb 0.0000 0.0000 0.9610  4 Pb 3.28, 4 Mg 3.29
Mg 0.5000 0.5000 0.6856  4 Co 2.69
Co 0.0000 0.0000 0.5239  4 Mg 2.69, 4 Pb 2.84
Pb 0.5000 0.5000 0.3295  4 Co 2.84, 1 Mg 3.02

Computed properties:
Formation energy in eV per formula unit: 0.8
Total DFT energy (no corrections) in eV per atom: -3.831

7.
A plane-wave DFT calculation with PBE was carried out for a relaxed MoI3 crystal.

Lattice parameters (Å, degrees): 7.8451 7.8451 7.6324 59.07 59.07 90.00
With the nearest neighbours (Å) after each atom.
Element x y z (fractional)
I 0.2311 0.6250 0.2500  2 Mo 2.62
Mo 0.5000 0.5000 0.0000  4 I 2.62
Mo 0.2500 0.7500 0.5000  4 I 2.62
I 0.5189 0.1250 0.2500  2 Mo 2.62
I 0.3750 0.4811 0.7500  2 Mo 2.62
I 0.8750 0.7689 0.7500  2 Mo 2.62
I 0.0000 0.0000 0.0000  4 I 3.66
I 0.7500 0.2500 0.5000  4 I 3.66

Computed properties:
Raw formation energy in eV/atom: 0.4988
Total DFT energy (no corrections) in eV per atom: -3.372

8.
A plane-wave DFT calculation with PBE was carried out for a relaxed Dy4SnPb3 crystal.

Lattice parameters (Å, degrees): 6.3832 6.3832 11.0689 90.00 90.00 90.00
With the nearest neighbours (Å) after each atom.
Element x y z (fractional)
Pb 0.2472 0.0605 0.7501  4 Dy 3.18-3.21
Sn 0.4998 0.8106 0.0000  8 Dy 3.19-3.56
Pb 0.7528 0.5605 0.7499  4 Dy 3.18-3.21
Dy 0.7451 0.0606 0.2500  4 Pb 3.18-3.21, 2 Sn 3.56, 2 Dy 3.56
Dy 0.2549 0.5606 0.2500  4 Pb 3.18-3.21, 2 Sn 3.56, 2 Dy 3.56
Dy 0.4998 0.3106 0.0000  2 Pb 3.19, 2 Sn 3.19, 4 Dy 3.56
Pb 0.2472 0.0605 0.2499  4 Dy 3.18-3.21
Sn 0.5002 0.3106 0.5000  8 Dy 3.19-3.56
Dy 0.2549 0.5606 0.7500  4 Pb 3.18-3.21, 2 Sn 3.56, 2 Dy 3.56
Pb 0.0003 0.8107 0.5000  4 Dy 3.19, 4 Pb 3.56
Pb 0.7528 0.5605 0.2501  4 Dy 3.18-3.21
Dy 0.0003 0.3107 0.5000  2 Sn 3.19, 6 Pb 3.19-3.56
Dy 0.7451 0.0606 0.7500  4 Pb 3.18-3.21, 2 Sn 3.56, 2 Dy 3.56
Pb 0.9997 0.3107 0.0000  4 Dy 3.19, 4 Pb 3.56
Dy 0.5002 0.8106 0.5000  2 Pb 3.19, 2 Sn 3.19, 4 Dy 3.56
Dy 0.9997 0.8107 0.0000  2 Sn 3.19, 6 Pb 3.19-3.56

Computed properties:
Formation energy in eV per formula unit: -3.9
Total DFT energy (no corrections) in eV per atom: -4.678